This record from the Alexandria database describes a relaxed Y3SnSb crystal. The functional is PBE.

Results
The value obtained for the uncorrected formation energy is -716 meV per atom. Its symmetry is P2_1/m, No. 11.

Cell: 4.3442 9.5847 9.6083 Å, 112.57 116.89 89.99°
Element x y z (fractional)
Sb (0.9798, 0.7061, 0.2297)
Sb (0.0202, 0.2939, 0.7703)
Sn (0.4895, 0.7434, 0.7396)
Sn (0.5105, 0.2566, 0.2604)
Y (0.0930, 0.0056, 0.8432)
Y (0.8019, 0.3489, 0.0519)
Y (0.3139, 0.3704, 0.5639)
Y (0.6861, 0.6296, 0.4361)
Y (0.9070, 0.9944, 0.1568)
Y (0.1981, 0.6511, 0.9481)

=====

This record from the Alexandria database describes a relaxed HPd2PtAu crystal. The functional is PBE.

Results
Its symmetry is P4/mmm, No. 123.

Cell: 4.1193 4.1193 3.9449 Å, 90.00 90.00 90.00°
Element x y z (fractional)
Au (0.5000, 0.5000, 0.5000)
Pd (0.0000, 0.5000, 0.0000)
Pd (0.5000, 0.0000, 0.0000)
H (0.0000, 0.0000, 0.0000)
Pt (0.0000, 0.0000, 0.5000)

=====

This record from the Alexandria database describes a relaxed HfPtSN2 crystal. The functional is PBE.

Results
The value obtained for the uncorrected formation energy is 830 meV per atom. Its symmetry is P4/mmm, No. 123.

Cell: 3.9401 3.9401 4.6437 Å, 90.00 90.00 90.00°
Element x y z (fractional)
S (0.0000, 0.0000, 0.5000)
N (0.5000, 0.0000, 0.0000)
N (0.0000, 0.5000, 0.0000)
Pt (0.0000, 0.0000, 0.0000)
Hf (0.5000, 0.5000, 0.5000)

=====

no.,volume (Å³/cell),polymorph energy (0 for the lowest one) (eV per atom)
1,322.1,0.000
2,66.9,0.000
3,72.1,0.135